The following is a PBE-GGA calculation of an optimized crystal structure of Nd2DyHoP4, from Alexandria.

Structure (POSCAR):
```
Nd2DyHoP4
1.0
-0.6389 -1.9893 -3.5110
6.9013 -1.4910 -0.4110
-3.3178 -5.1514 3.5223
P Dy Ho Nd
4 1 1 2
Direct
0.5000 0.7528 0.7601
0.0000 0.7460 0.2396
0.0000 0.2540 0.7604
0.5000 0.2472 0.2399
0.0000 0.0000 0.0000
0.5000 0.5000 0.0000
0.0000 0.5000 0.5000
0.5000 0.0000 0.5000
```

## Properties
- space group = No. 10
- formation enthalpy at 0 K (kJ per mole of atoms) = -151
- final energy (eV for the cell shown) = -52.9
- M_tot (μB per cell) = 0.00